TbGa2Tc2B after structural relaxation. Source: the Alexandria database, functional PBE-GGA.

Values from the calculation:
SG = P4/mmm, No. 123
E = -40.890 eV per cell
N(E_F) = 3.35 states/eV/cell

abc: 4.230 4.230 5.482
angles: 90.00 90.00 90.00
Atoms (fractional coordinates):
Tb  0.000  0.000  0.000
Ga  0.500  0.500  0.226
Ga  0.500  0.500  0.774
Tc  0.000  0.500  0.500
Tc  0.500  0.000  0.500
B  0.000  0.000  0.500